(1)
TlIn7Ga5 | GGA-PBE | optimized geometry

Lattice parameters (Å, degrees): 8.1962 8.1962 8.1962 140.94 96.40 96.43
Fractional coordinates of all 13 atoms:
Tl 0.0000 0.0000 0.0000
In 0.1915 0.4944 0.6971
In 0.3375 0.3375 0.0000
In 0.3411 0.9892 0.3518
In 0.6352 0.6352 0.0000
In 0.6374 0.9892 0.6482
In 0.7807 0.2807 0.5000
In 0.7972 0.4944 0.3029
Ga 0.2043 0.7043 0.5000
Ga 0.4857 0.4917 0.4950
Ga 0.4857 0.9907 0.9940
Ga 0.9967 0.4917 0.0060
Ga 0.9967 0.9907 0.5050

Formation energy   0.6 eV per formula unit
Symmetry   No. 44

---

(2)
CeErAgOs | GGA-PBE | optimized geometry

Lattice parameters (Å, degrees): 4.9831 4.9831 4.9831 60.00 60.00 60.00
Fractional coordinates of all 4 atoms:
Ce 0.0000 0.0000 0.0000
Er 0.5000 0.5000 0.5000
Ag 0.2500 0.2500 0.2500
Os 0.7500 0.7500 0.7500

Formation energy   -0.7 eV per formula unit
Symmetry   No. 216

---

(3)
SnBiMo | GGA-PBE | optimized geometry

Lattice parameters (Å, degrees): 3.3007 5.3724 9.1929 75.81 80.09 72.27
Fractional coordinates of all 6 atoms:
Sn 0.0000 0.0000 0.0000
Sn 0.4852 0.7301 0.3106
Bi 0.1443 0.1506 0.5727
Bi 0.8137 0.5978 0.7708
Mo 0.2535 0.4189 0.0792
Mo 0.7614 0.2098 0.2781

Formation energy   0.7 eV per formula unit
Symmetry   No. 1

---

(4)
BaBiO3 | GGA-PBE | optimized geometry

Lattice parameters (Å, degrees): 4.3820 4.3820 4.3820 90.00 90.00 90.00
Fractional coordinates of all 5 atoms:
Ba 0.0000 0.0000 0.0000
Bi 0.5000 0.5000 0.5000
O 0.0000 0.5000 0.5000
O 0.5000 0.0000 0.5000
O 0.5000 0.5000 0.0000

Formation energy from raw total energies   -1.787 eV per atom
Symmetry   No. 221

---

(5)
Sm3Ir2 | GGA-PBE | optimized geometry

Lattice parameters (Å, degrees): 7.3379 7.3379 7.3379 114.71 87.20 129.10
Fractional coordinates of all 10 atoms:
Sm 0.1589 0.6325 0.7914
Sm 0.2500 0.2500 0.0000
Sm 0.3411 0.1325 0.4735
Sm 0.6589 0.8675 0.5265
Sm 0.7500 0.7500 0.0000
Sm 0.8411 0.3675 0.2086
Ir 0.0986 0.2710 0.3696
Ir 0.4014 0.7710 0.1724
Ir 0.5986 0.2290 0.8276
Ir 0.9014 0.7290 0.6304

Formation energy   -2.6 eV per formula unit
Symmetry   No. 72

---

(6)
CsSc2Te3 | GGA-PBE | optimized geometry

Lattice parameters (Å, degrees): 9.4722 4.1415 11.3302 90.00 101.26 90.00
Fractional coordinates of all 12 atoms:
Cs 0.0292 0.2500 0.3226
Cs 0.9708 0.7500 0.6774
Sc 0.3578 0.2500 0.0249
Sc 0.4815 0.2500 0.6721
Sc 0.5185 0.7500 0.3279
Sc 0.6422 0.7500 0.9751
Te 0.2377 0.7500 0.1510
Te 0.3283 0.7500 0.5109
Te 0.3599 0.7500 0.8339
Te 0.6401 0.2500 0.1661
Te 0.6717 0.2500 0.4891
Te 0.7623 0.2500 0.8490

Formation energy from raw total energies   -1.089 eV per atom
Symmetry   No. 11

---

(7)
SrAgPd | GGA-PBE | optimized geometry

Lattice parameters (Å, degrees): 6.1380 6.1380 6.1380 129.13 88.46 113.32
Fractional coordinates of all 6 atoms:
Sr 0.0000 0.0000 0.0000
Sr 0.5000 0.0000 0.5000
Ag 0.3662 0.6162 0.7500
Ag 0.6338 0.3838 0.2500
Pd 0.0000 0.0000 0.5000
Pd 0.0000 0.5000 0.0000

Formation energy   -1.1 eV per formula unit
Symmetry   No. 74

---

(8)
SmH6IrPd | GGA-PBE | optimized geometry

Lattice parameters (Å, degrees): 4.8214 4.8214 4.1846 90.00 90.00 120.00
Fractional coordinates of all 9 atoms:
Sm 0.0000 0.0000 0.0000
H 0.0247 0.5096 0.2278
H 0.0247 0.5151 0.7722
H 0.4849 0.5096 0.7722
H 0.4849 0.9753 0.2278
H 0.4904 0.5151 0.2278
H 0.4904 0.9753 0.7722
Ir 0.3333 0.6667 0.5000
Pd 0.6667 0.3333 0.5000

E_tot   -4.621 eV/atom
Symmetry   No. 149

---

(9)
Ba2GePd | GGA-PBE | optimized geometry

Lattice parameters (Å, degrees): 4.5459 4.5459 9.1741 104.21 104.21 59.99
Fractional coordinates of all 4 atoms:
Ba 0.0000 0.0000 0.0000
Ba 0.1588 0.1588 0.4811
Ge 0.7461 0.7461 0.2409
Pd 0.4126 0.4126 0.2403

Formation energy   -2.4 eV per formula unit
Symmetry   No. 8

---

(10)
AcSm3Tl2 | GGA-PBE | optimized geometry

Lattice parameters (Å, degrees): 3.7518 3.7518 13.5949 90.00 90.00 90.00
Fractional coordinates of all 6 atoms:
Ac 0.0000 0.0000 0.0000
Sm 0.5000 0.5000 0.1961
Sm 0.5000 0.5000 0.5000
Sm 0.5000 0.5000 0.8039
Tl 0.0000 0.0000 0.3453
Tl 0.0000 0.0000 0.6547

Formation energy   -1.4 eV per formula unit
Symmetry   No. 123

---

(11)
La2Tb3NdTe6 | GGA-PBE | optimized geometry

Lattice parameters (Å, degrees): 10.0050 10.0050 8.9891 103.85 103.85 25.62
Fractional coordinates of all 12 atoms:
La 0.1655 0.1655 0.3309
La 0.8345 0.8345 0.6691
Tb 0.1672 0.1672 0.8333
Tb 0.5000 0.5000 0.5000
Tb 0.8328 0.8328 0.1667
Nd 0.5000 0.5000 0.0000
Te 0.0041 0.0041 0.7449
Te 0.3314 0.3314 0.9269
Te 0.3364 0.3364 0.4090
Te 0.6636 0.6636 0.5910
Te 0.6686 0.6686 0.0731
Te 0.9959 0.9959 0.2551

Formation energy from raw total energies   -1.429 eV per atom
Symmetry   No. 12

---

(12)
Al2HgBi2 | GGA-PBE | optimized geometry

Lattice parameters (Å, degrees): 6.6526 6.6526 6.6526 134.98 134.98 65.56
Fractional coordinates of all 5 atoms:
Al 0.1147 0.1147 0.0000
Al 0.8853 0.8853 0.0000
Hg 0.5000 0.5000 0.0000
Bi 0.2500 0.7500 0.5000
Bi 0.7500 0.2500 0.5000

Formation energy   0.9 eV per formula unit
Symmetry   No. 139

---

(13)
TaTiPtW | GGA-PBE | optimized geometry

Lattice parameters (Å, degrees): 4.5252 4.5252 4.5252 60.00 60.00 60.00
Fractional coordinates of all 4 atoms:
Ta 0.0000 0.0000 0.0000
Ti 0.5000 0.5000 0.5000
Pt 0.2500 0.2500 0.2500
W 0.7500 0.7500 0.7500

Formation energy   -1.5 eV per formula unit
Symmetry   No. 216

---

(14)
BaSbSe2 | GGA-PBE | optimized geometry

Lattice parameters (Å, degrees): 5.3348 5.3348 3.9216 90.14 90.14 90.10
Fractional coordinates of all 4 atoms:
Ba 0.0000 0.0000 0.0000
Sb 0.5000 0.5000 0.0000
Se 0.0000 0.5000 0.5000
Se 0.5000 0.0000 0.5000

Formation energy from raw total energies   -0.850 eV per atom
Symmetry   No. 12

---

(15)
Zr7In2Ga2 | GGA-PBE | optimized geometry

Lattice parameters (Å, degrees): 6.3901 6.3901 6.6450 90.05 90.05 75.32
Fractional coordinates of all 11 atoms:
Zr 0.0000 0.0000 0.0000
Zr 0.0003 0.4995 0.2691
Zr 0.9997 0.5005 0.7309
Zr 0.4995 0.0003 0.2691
Zr 0.5005 0.9997 0.7309
Zr 0.5001 0.5001 0.2564
Zr 0.4999 0.4999 0.7436
In 0.1754 0.8246 0.5000
In 0.8246 0.1754 0.5000
Ga 0.2806 0.2806 0.9996
Ga 0.7194 0.7194 0.0004

Formation energy   0.4 eV per formula unit
Symmetry   No. 12

---

(16)
YTm2Ru | GGA-PBE | optimized geometry

Lattice parameters (Å, degrees): 3.4010 3.4010 8.8028 90.00 90.00 90.00
Fractional coordinates of all 4 atoms:
Y 0.0000 0.0000 0.0000
Tm 0.5000 0.5000 0.3166
Tm 0.5000 0.5000 0.6834
Ru 0.0000 0.0000 0.5000

Formation energy   -1.1 eV per formula unit
Symmetry   No. 123

---

(17)
TaFe2Re | GGA-PBE | optimized geometry

Lattice parameters (Å, degrees): 3.0986 3.0986 5.8676 90.00 90.00 90.00
Fractional coordinates of all 4 atoms:
Ta 0.0000 0.0000 0.0000
Fe 0.0000 0.0000 0.4793
Fe 0.5000 0.5000 0.2514
Re 0.5000 0.5000 0.7193

Formation energy   -0.2 eV per formula unit
Symmetry   No. 99

---

(18)
PmPu2P | GGA-PBE | optimized geometry

Lattice parameters (Å, degrees): 9.8550 9.8550 9.8550 21.47 21.47 21.47
Fractional coordinates of all 4 atoms:
Pm 0.0000 0.0000 0.0000
Pu 0.2283 0.2283 0.2283
Pu 0.7717 0.7717 0.7717
P 0.5000 0.5000 0.5000

Formation energy   -1.3 eV per formula unit
Symmetry   No. 166

---

(19)
AcDy7Ho4 | GGA-PBE | optimized geometry

Lattice parameters (Å, degrees): 6.2255 7.2065 8.8750 89.99 76.42 89.99
Fractional coordinates of all 12 atoms:
Ac 0.0000 0.0000 0.0000
Dy 0.0000 0.5000 0.0000
Dy 0.2244 0.0004 0.3385
Dy 0.2805 0.7457 0.6623
Dy 0.5000 0.2550 0.9999
Dy 0.5000 0.7450 0.0001
Dy 0.7195 0.2543 0.3377
Dy 0.7756 0.9996 0.6615
Ho 0.2202 0.5003 0.3350
Ho 0.2799 0.2538 0.6627
Ho 0.7201 0.7462 0.3373
Ho 0.7798 0.4997 0.6650

Formation energy   0.2 eV per formula unit
Symmetry   No. 2